Density functional theory data (PBE+U) for a relaxed structure of HoCo4Ag3O12.

The total moment comes out at 0.4001 μB per atom. The symmetry is No. 204. The calculation puts the raw total energy at -111.122 eV for the cell shown.

Unit cell a=6.380 b=6.380 c=6.380 alpha=109.47 beta=109.47 gamma=109.47
Each line ends with the local moment (μB).
Fractional positions:
Ag 0.500 0.500 0.000  0.00
Ag 0.500 0.000 0.500  0.01
Ag 0.000 0.500 0.500  0.00
Co 0.500 0.000 0.000  1.99
Co 0.000 0.500 0.000  2.00
Co 0.000 0.000 0.500  1.99
Co 0.500 0.500 0.500  2.01
Ho 0.000 0.000 0.000  0.01
O 0.290 0.819 0.109  -0.01
O 0.471 0.290 0.181  -0.01
O 0.891 0.710 0.181  0.00
O 0.819 0.109 0.290  -0.01
O 0.181 0.471 0.290  -0.01
O 0.290 0.181 0.471  -0.01
O 0.710 0.819 0.529  -0.01
O 0.819 0.529 0.710  -0.01
O 0.181 0.891 0.710  -0.01
O 0.109 0.290 0.819  0.00
O 0.529 0.710 0.819  -0.01
O 0.710 0.181 0.891  -0.01